# 1
DFT (meta-GGA SCAN) results for Zn2MoOs at its PBEsol-relaxed geometry.

Cell and atoms, written as CIF:
```
data_Zn2MoOs
_symmetry_space_group_name_H-M 'P 1'
_symmetry_Int_Tables_number 1
_cell_length_a 2.940
_cell_length_b 2.940
_cell_length_c 6.602
_cell_angle_alpha 90.00
_cell_angle_beta 90.00
_cell_angle_gamma 90.00
loop_
_symmetry_equiv_pos_as_xyz
'x,y,z'
loop_
_atom_site_label
_atom_site_fract_x
_atom_site_fract_y
_atom_site_fract_z
Zn1 0.500 0.500 0.239
Zn2 0.000 0.000 0.001
Os1 0.500 0.500 0.744
Mo1 0.000 0.000 0.516
```

Calculated values
Final energy   -33.44 eV/atom
Calculated formation energy   0.01 eV per atom
Spin magnetization   0.000 μB/f.u.
Crystal system   tetragonal

# 2
DFT (meta-GGA SCAN) results for ScAsOs at its PBEsol-relaxed geometry.

Cell and atoms, written as CIF:
```
data_ScAsOs
_symmetry_space_group_name_H-M 'P 1'
_symmetry_Int_Tables_number 1
_cell_length_a 4.266
_cell_length_b 4.266
_cell_length_c 4.266
_cell_angle_alpha 60.00
_cell_angle_beta 60.00
_cell_angle_gamma 60.00
loop_
_symmetry_equiv_pos_as_xyz
'x,y,z'
loop_
_atom_site_label
_atom_site_fract_x
_atom_site_fract_y
_atom_site_fract_z
As1 0.500 0.500 0.500
Os1 0.250 0.250 0.250
Sc1 0.000 0.000 0.000
```

Calculated values
Final energy   -35.80 eV/atom
Calculated formation energy   -0.36 eV per atom
Spin magnetization   0.000 μB/f.u.
Crystal system   cubic

# 3
DFT (meta-GGA SCAN) results for NiBiNF2 at its PBEsol-relaxed geometry.

Cell and atoms, written as CIF:
```
data_NiBiNF2
_symmetry_space_group_name_H-M 'P 1'
_symmetry_Int_Tables_number 1
_cell_length_a 4.424
_cell_length_b 4.396
_cell_length_c 4.396
_cell_angle_alpha 90.00
_cell_angle_beta 90.00
_cell_angle_gamma 90.00
loop_
_symmetry_equiv_pos_as_xyz
'x,y,z'
loop_
_atom_site_label
_atom_site_fract_x
_atom_site_fract_y
_atom_site_fract_z
F1 0.000 0.500 0.000
F2 0.000 0.000 0.500
Ni1 0.500 0.500 0.500
Bi1 0.000 0.000 0.000
N1 0.500 0.000 0.000
```

Calculated values
Final energy   -22.23 eV/atom
Formation energy (no corrections)   -0.6 kJ/mol of atoms
Spin magnetization   1.291 μB/f.u.
Crystal system   tetragonal

# 4
DFT (meta-GGA SCAN) results for CsAlSb2Te at its PBEsol-relaxed geometry.

Cell and atoms, written as CIF:
```
data_CsAlSb2Te
_symmetry_space_group_name_H-M 'P 1'
_symmetry_Int_Tables_number 1
_cell_length_a 6.079
_cell_length_b 6.079
_cell_length_c 6.147
_cell_angle_alpha 90.00
_cell_angle_beta 90.00
_cell_angle_gamma 90.00
loop_
_symmetry_equiv_pos_as_xyz
'x,y,z'
loop_
_atom_site_label
_atom_site_fract_x
_atom_site_fract_y
_atom_site_fract_z
Te1 0.000 0.000 0.500
Al1 0.500 0.500 0.500
Sb1 0.000 0.500 0.000
Sb2 0.500 0.000 0.000
Cs1 0.000 0.000 0.000
```

Calculated values
Final energy   -29.93 eV/atom
Formation energy (no corrections)   148.0 kJ/mol of atoms
Spin magnetization   1.351 μB/f.u.
Crystal system   tetragonal

Q: What is the final energy in the first record?
A: -33.44 eV/atom

Repeat the fourth record exactly.
DFT (meta-GGA SCAN) results for CsAlSb2Te at its PBEsol-relaxed geometry.

Cell and atoms, written as CIF:
```
data_CsAlSb2Te
_symmetry_space_group_name_H-M 'P 1'
_symmetry_Int_Tables_number 1
_cell_length_a 6.079
_cell_length_b 6.079
_cell_length_c 6.147
_cell_angle_alpha 90.00
_cell_angle_beta 90.00
_cell_angle_gamma 90.00
loop_
_symmetry_equiv_pos_as_xyz
'x,y,z'
loop_
_atom_site_label
_atom_site_fract_x
_atom_site_fract_y
_atom_site_fract_z
Te1 0.000 0.000 0.500
Al1 0.500 0.500 0.500
Sb1 0.000 0.500 0.000
Sb2 0.500 0.000 0.000
Cs1 0.000 0.000 0.000
```

Calculated values
Final energy   -29.93 eV/atom
Formation energy (no corrections)   148.0 kJ/mol of atoms
Spin magnetization   1.351 μB/f.u.
Crystal system   tetragonal